[1]
This record from the Alexandria database describes crystalline YLuMg2 at its relaxed geometry. The functional is GGA-PBEsol.

The calculation puts the energy at -3.847 eV per atom. The formation energy is -65.1 meV/atom.

Unit cell a=7.442 b=7.442 c=7.442 alpha=90.00 beta=90.00 gamma=90.00
Space group Fm-3m (No. 225)
Asymmetric unit:
Y  0.000  0.000  0.000 [4 per cell]
Lu  0.000  0.000  0.500 [4 per cell]
Mg  0.250  0.250  0.250 [8 per cell]

=====

[2]
This record from the Alexandria database describes crystalline LuMgZn2 at its relaxed geometry. The functional is GGA-PBEsol.

The calculation puts the energy at -2.756 eV per atom. The formation energy is -317.9 meV/atom.

Unit cell a=6.633 b=6.633 c=6.633 alpha=90.00 beta=90.00 gamma=90.00
Space group Fm-3m (No. 225)
Asymmetric unit:
Lu  0.000  0.000  0.000 [4 per cell]
Mg  0.000  0.000  0.500 [4 per cell]
Zn  0.250  0.250  0.250 [8 per cell]

=====

[3]
This record from the Alexandria database describes crystalline Lu6Mn23 at its relaxed geometry. The functional is GGA-PBEsol.

The calculation puts the energy at -8.740 eV per atom. The formation energy is 9.3 meV/atom.

Unit cell a=11.556 b=11.556 c=11.556 alpha=90.00 beta=90.00 gamma=90.00
Space group Fm-3m (No. 225)
Asymmetric unit:
Lu  0.000  0.000  0.204 [24 per cell]
Mn  0.000  0.000  0.500 [4 per cell]
Mn  0.000  0.250  0.250 [24 per cell]
Mn  0.121  0.121  0.379 [32 per cell]
Mn  0.176  0.176  0.176 [32 per cell]

=====

Question: Number 1 is which compound?
Answer: YLuMg2

=====

Question: formation energy of number 1 (YLuMg2)?
Answer: -65.1 meV/atom

=====

Question: formation energy of number 1 (YLuMg2)?
Answer: -65.1 meV/atom